Material: LiMgRe3
Method: DFT, PBE
State: optimized geometry

Output
crystal system: cubic
DOS at the Fermi energy: 4.14 states/eV/f.u.
E: -0.4967 Ry per atom
energy of formation: 1412 meV per atom

a = 4.2063 Å, b = 4.2063 Å, c = 4.2063 Å
α = 90.00°, β = 90.00°, γ = 90.00°
Element x y z (fractional)
Li (0.0000, 0.0000, 0.0000)
Mg (0.5000, 0.5000, 0.5000)
Re (0.0000, 0.0000, 0.5000)
Re (0.0000, 0.5000, 0.0000)
Re (0.5000, 0.0000, 0.0000)